{"formula": "BaCdGa2Rh", "functional": "PBE-GGA", "state": "relaxed", "final_energy_ev_per_atom": -3.70, "spacegroup": "No. 123", "dos_at_fermi_per_ev_cell": 4.24, "cell": [[4.873, 0.000, 0.000], [0.000, 4.873, 0.000], [0.000, 0.000, 5.261]], "species": ["Ga", "Ga", "Rh", "Ba", "Cd"], "frac_coords": [[0.500, 0.000, 0.000], [0.000, 0.500, 0.000], [0.000, 0.000, 0.000], [0.500, 0.500, 0.500], [0.000, 0.000, 0.500]]}